A geometry-optimized MoPdOF2 structure, computed with GGA+U.

Output
**Total DFT energy (no corrections)**: -23.66 eV for the cell shown
**Calculated density**: 5.8 g/cm3

Cell lengths 4.1810, 4.1810, 4.1839 Å; angles 90.00, 90.00, 90.00 degrees
Fractional positions:
Mo 0.0000 0.0000 0.0000
Pd 0.5000 0.5000 0.5000
O 0.5000 0.5000 0.0000
F 0.0000 0.5000 0.5000
F 0.5000 0.0000 0.5000